[1]
Material: TbPuCoRu
Method: DFT, PBE
State: relaxed

Unit cell a=4.7707 b=4.7707 c=4.7707 alpha=60.00 beta=60.00 gamma=60.00
With the nearest neighbours (Å) after each atom.
Element x y z (fractional)
Pu1 0.0000 0.0000 0.0000  4 Co 2.92, 4 Ru 2.92
Tb1 0.5000 0.5000 0.5000  4 Ru 2.92, 4 Co 2.92
Co1 0.2500 0.2500 0.2500  4 Tb 2.92, 4 Pu 2.92
Ru1 0.7500 0.7500 0.7500  4 Tb 2.92, 4 Pu 2.92

Summary:
electronic total energy	-8.964	eV/atom
energy relative to the elements	-128	meV/atom
space-group type	No. 216
V	19.2	Å³/atom

[2]
Material: PuTlCoRu
Method: DFT, PBE
State: relaxed

Unit cell a=4.6668 b=4.6668 c=4.6668 alpha=60.00 beta=60.00 gamma=60.00
With the nearest neighbours (Å) after each atom.
Element x y z (fractional)
Tl1 0.0000 0.0000 0.0000  4 Co 2.86, 4 Ru 2.86
Co1 0.2500 0.2500 0.2500  4 Tl 2.86, 4 Pu 2.86
Ru1 0.7500 0.7500 0.7500  4 Tl 2.86, 4 Pu 2.86
Pu1 0.5000 0.5000 0.5000  4 Co 2.86, 4 Ru 2.86

Summary:
electronic total energy	-8.133	eV/atom
energy relative to the elements	137	meV/atom
space-group type	No. 216
V	18.0	Å³/atom

[3]
Material: TmPuCoRu
Method: DFT, PBE
State: relaxed

Unit cell a=4.7243 b=4.7243 c=4.7243 alpha=60.00 beta=60.00 gamma=60.00
With the nearest neighbours (Å) after each atom.
Element x y z (fractional)
Co1 0.0000 0.0000 0.0000  4 Pu 2.89, 4 Tm 2.89
Pu1 0.7500 0.7500 0.7500  4 Ru 2.89, 4 Co 2.89
Tm1 0.2500 0.2500 0.2500  4 Co 2.89, 4 Ru 2.89
Ru1 0.5000 0.5000 0.5000  4 Tm 2.89, 4 Pu 2.89

Summary:
electronic total energy	-8.991	eV/atom
energy relative to the elements	-195	meV/atom
space-group type	No. 216
V	18.6	Å³/atom

[4]
Material: PuUCoRu
Method: DFT, PBE
State: relaxed

Unit cell a=4.5071 b=4.5071 c=4.5071 alpha=60.00 beta=60.00 gamma=60.00
With the nearest neighbours (Å) after each atom.
Element x y z (fractional)
Ru1 0.2500 0.2500 0.2500  4 U 2.76, 4 Co 2.76
U1 0.0000 0.0000 0.0000  4 Pu 2.76, 4 Ru 2.76
Pu1 0.7500 0.7500 0.7500  4 Co 2.76, 4 U 2.76
Co1 0.5000 0.5000 0.5000  4 Ru 2.76, 4 Pu 2.76

Summary:
electronic total energy	-10.732	eV/atom
energy relative to the elements	-231	meV/atom
space-group type	No. 216
V	16.2	Å³/atom

[5]
Material: YPuCoRu
Method: DFT, PBE
State: relaxed

Unit cell a=4.7699 b=4.7699 c=4.7699 alpha=60.00 beta=60.00 gamma=60.00
With the nearest neighbours (Å) after each atom.
Element x y z (fractional)
Co1 0.2500 0.2500 0.2500  4 Y 2.92, 4 Pu 2.92
Ru1 0.7500 0.7500 0.7500  4 Pu 2.92, 4 Y 2.92
Pu1 0.5000 0.5000 0.5000  4 Co 2.92, 4 Ru 2.92
Y1 0.0000 0.0000 0.0000  4 Ru 2.92, 4 Co 2.92

Summary:
electronic total energy	-9.419	eV/atom
energy relative to the elements	-125	meV/atom
space-group type	No. 216
V	19.2	Å³/atom

[6]
Material: PuZnCoRu
Method: DFT, PBE
State: relaxed

Unit cell a=4.4553 b=4.4553 c=4.4553 alpha=60.00 beta=60.00 gamma=60.00
With the nearest neighbours (Å) after each atom.
Element x y z (fractional)
Zn1 0.0000 0.0000 0.0000  4 Co 2.73, 4 Ru 2.73
Pu1 0.5000 0.5000 0.5000  4 Co 2.73, 4 Ru 2.73
Ru1 0.7500 0.7500 0.7500  4 Zn 2.73, 4 Pu 2.73
Co1 0.2500 0.2500 0.2500  4 Pu 2.73, 4 Zn 2.73

Summary:
electronic total energy	-8.106	eV/atom
energy relative to the elements	-109	meV/atom
space-group type	No. 216
V	15.6	Å³/atom

[7]
Material: Pu2CoS4
Method: DFT, PBE
State: relaxed

Unit cell a=6.3459 b=5.7021 c=7.6695 alpha=90.00 beta=106.82 gamma=90.00
With the nearest neighbours (Å) after each atom.
Element x y z (fractional)
Pu1 0.2616 0.2500 0.9437  8 S 2.77-3.05
Pu2 0.7651 0.7500 0.5670  8 S 2.72-3.02
Co1 0.7381 0.2500 0.8121  4 S 2.13-2.17
S1 0.0828 0.7500 0.9020  1 Co 2.16
S2 0.4854 0.5086 0.7402  1 Co 2.13
S3 0.4854 0.9914 0.7402  1 Co 2.13
S4 0.9287 0.2500 0.6176  1 Co 2.17
S5 0.5146 0.4914 0.2598  1 Co 2.13
Co2 0.2619 0.7500 0.1879  4 S 2.13-2.17
S6 0.0713 0.7500 0.3824  1 Co 2.17
Pu3 0.2349 0.2500 0.4330  8 S 2.72-3.02
S7 0.5146 0.0086 0.2598  1 Co 2.13
S8 0.9172 0.2500 0.0980  1 Co 2.16
Pu4 0.7384 0.7500 0.0563  8 S 2.77-3.05

Summary:
electronic total energy	-8.708	eV/atom
formation energy without anion corrections	-1.24	eV per atom
space-group type	No. 11
V	19.0	Å³/atom

[8]
Material: PuCoS2
Method: DFT, PBE
State: relaxed

Unit cell a=3.4177 b=3.4177 c=7.9891 alpha=77.65 beta=77.65 gamma=60.00
With the nearest neighbours (Å) after each atom.
Element x y z (fractional)
S1 0.8823 0.8823 0.3532  3 Co 2.28
S2 0.1177 0.1177 0.6468  3 Co 2.28
Co1 0.5000 0.5000 0.5000  6 S 2.28
Pu1 0.0000 0.0000 0.0000  2 S 2.73

Summary:
electronic total energy	-7.776	eV/atom
formation energy without anion corrections	-0.35	eV per atom
space-group type	No. 166
V	19.6	Å³/atom

[9]
Material: Pu3Tl3CoS8
Method: DFT, PBE
State: relaxed

Unit cell a=7.7507 b=7.7515 c=8.8422 alpha=116.01 beta=90.00 gamma=120.00
With the nearest neighbours (Å) after each atom.
Element x y z (fractional)
Tl1 0.5000 0.5000 0.0000  6 S 3.20-3.26
S1 0.7608 0.9687 0.6766  1 Co 2.41
S2 0.7920 0.5840 0.3234  1 Co 2.41
Pu1 0.5000 0.0000 0.5000  6 S 2.71-2.72
S3 0.7332 0.4664 0.6995  3 Pu 2.71
Tl2 0.0000 0.0000 0.0000  6 S 3.20-3.26
Pu2 0.0000 0.5000 0.5000  6 S 2.71-2.72
S4 0.2668 0.5336 0.3005  3 Pu 2.71
S5 0.2080 0.4160 0.6766  1 Co 2.41
Co1 0.0000 0.0000 0.5000  6 S 2.41
Pu3 0.5000 0.5000 0.5000  6 S 2.71-2.72
S6 0.2392 0.0313 0.3234  1 Co 2.41
Tl3 0.0000 0.5000 0.0000  6 S 3.20-3.26
S7 0.2080 0.9687 0.6765  1 Co 2.41
S8 0.7920 0.0313 0.3235  1 Co 2.41

Summary:
electronic total energy	-6.972	eV/atom
formation energy without anion corrections	-0.96	eV per atom
space-group type	No. 166
V	26.4	Å³/atom

[10]
Material: Pu2Tl3CoS6
Method: DFT, PBE
State: relaxed

Unit cell a=6.6256 b=6.6256 c=7.8508 alpha=98.15 beta=98.15 gamma=119.79
With the nearest neighbours (Å) after each atom.
Element x y z (fractional)
S1 0.9397 0.6384 0.8182  1 Co 2.42, 2 Pu 2.70
Tl1 0.8239 0.1761 0.5000  6 S 3.19-3.34
S2 0.3616 0.0603 0.1818  1 Co 2.42, 2 Pu 2.70
S3 0.2406 0.2406 0.8049  1 Co 2.51, 2 Pu 2.73
S4 0.7594 0.7594 0.1951  1 Co 2.51, 2 Pu 2.73
Tl2 0.1761 0.8239 0.5000  6 S 3.19-3.34
Pu1 0.3344 0.6656 0.0000  6 S 2.70-2.73
S5 0.6384 0.9397 0.8182  1 Co 2.42, 2 Pu 2.70
Co1 0.0000 0.0000 0.0000  6 S 2.42-2.51
Pu2 0.6656 0.3344 0.0000  6 S 2.70-2.73
S6 0.0603 0.3616 0.1818  1 Co 2.42, 2 Pu 2.70
Tl3 0.5000 0.5000 0.5000  6 S 3.19-3.32

Summary:
electronic total energy	-6.464	eV/atom
formation energy without anion corrections	-0.83	eV per atom
space-group type	No. 12
V	23.9	Å³/atom

[11]
Material: PuUCoS4
Method: DFT, PBE
State: relaxed

Unit cell a=6.3466 b=5.6696 c=7.5966 alpha=90.00 beta=106.64 gamma=90.00
With the nearest neighbours (Å) after each atom.
Element x y z (fractional)
S1 0.5771 0.2500 0.3981  1 Co 2.17
Pu1 0.7429 0.7500 0.9361  8 S 2.72-3.03
Pu2 0.2571 0.2500 0.0639  8 S 2.72-3.03
S2 0.4229 0.7500 0.6019  1 Co 2.17
Co1 0.2357 0.7500 0.3144  4 S 2.15-2.19
S3 0.9806 0.4886 0.2488  1 Co 2.15
S4 0.9806 0.0114 0.2488  1 Co 2.15
S5 0.4328 0.7500 0.1203  1 Co 2.19
U1 0.7513 0.7500 0.4421  6 S 2.69-2.82
U2 0.2487 0.2500 0.5579  6 S 2.69-2.82
S6 0.5672 0.2500 0.8797  1 Co 2.19
S7 0.0194 0.5114 0.7512  1 Co 2.15
S8 0.0194 0.9886 0.7512  1 Co 2.15
Co2 0.7643 0.2500 0.6856  4 S 2.15-2.19

Summary:
electronic total energy	-8.267	eV/atom
formation energy without anion corrections	-1.23	eV per atom
space-group type	No. 11
V	18.7	Å³/atom

[12]
Material: PuCoSb2
Method: DFT, PBE
State: relaxed

Unit cell a=4.4846 b=7.4017 c=10.8053 alpha=90.00 beta=90.00 gamma=90.00
With the nearest neighbours (Å) after each atom.
Element x y z (fractional)
Pu1 0.7500 0.2734 0.8192  8 Sb 3.17-3.33, 5 Co 3.25-3.50
Pu2 0.2500 0.2266 0.3192  8 Sb 3.17-3.33, 5 Co 3.25-3.50
Sb1 0.2500 0.4710 0.6628  2 Co 2.56-2.57
Sb2 0.2500 0.8466 0.4783  3 Co 2.52-2.63
Sb3 0.2500 0.3466 0.0217  3 Co 2.52-2.63
Sb4 0.7500 0.0290 0.1628  2 Co 2.56-2.57
Co1 0.7500 0.3716 0.1260  5 Sb 2.52-2.63
Sb5 0.7500 0.5290 0.3372  2 Co 2.56-2.57
Co2 0.2500 0.6284 0.8740  5 Sb 2.52-2.63
Pu3 0.2500 0.7266 0.1808  8 Sb 3.17-3.33, 5 Co 3.25-3.50
Sb6 0.2500 0.9710 0.8372  2 Co 2.56-2.57
Pu4 0.7500 0.7734 0.6808  8 Sb 3.17-3.33, 5 Co 3.25-3.50
Co3 0.7500 0.8716 0.3740  5 Sb 2.52-2.63
Sb7 0.7500 0.1534 0.5217  3 Co 2.52-2.63
Co4 0.2500 0.1284 0.6260  5 Sb 2.52-2.63
Sb8 0.7500 0.6534 0.9783  3 Co 2.52-2.63

Summary:
electronic total energy	-7.811	eV/atom
formation energy without anion corrections	-0.39	eV per atom
space-group type	No. 62
distance to the lowest polymorph of the same formula	0	meV/atom
V	22.4	Å³/atom